! PBE BaSrBiI, relaxed; values from VASP
&SYSTEM
  ibrav = 0, nat = 4, ntyp = 4
/
ATOMIC_SPECIES
Ba 137.33 Ba.upf
Sr 87.62 Sr.upf
Bi 208.98 Bi.upf
I 126.90 I.upf
CELL_PARAMETERS angstrom
2.481 1.432 8.557
-2.481 1.432 8.557
0.000 -2.865 8.557
ATOMIC_POSITIONS crystal
Ba 0.000 0.000 0.000
Sr 0.192 0.192 0.192
Bi 0.591 0.591 0.591
I 0.769 0.769 0.769
! - total moment (μB/f.u.) = 0.00
! - E_form (uncorrected) (eV/f.u.) = -4.92

=====

! PBE Ba6Bi2TeI3, relaxed; values from VASP
&SYSTEM
  ibrav = 0, nat = 12, ntyp = 4
/
ATOMIC_SPECIES
Ba 137.33 Ba.upf
Bi 208.98 Bi.upf
Te 127.60 Te.upf
I 126.90 I.upf
CELL_PARAMETERS angstrom
11.065 -2.553 0.000
11.065 2.553 0.000
-2.260 0.000 9.883
ATOMIC_POSITIONS crystal
Ba 0.006 0.006 0.239
Ba 0.328 0.328 0.432
Ba 0.338 0.338 0.903
Ba 0.662 0.662 0.097
Ba 0.672 0.672 0.568
Ba 0.994 0.994 0.761
Bi 0.166 0.166 0.329
Bi 0.834 0.834 0.671
Te 0.500 0.500 0.000
I 0.165 0.165 0.832
I 0.500 0.500 0.500
I 0.835 0.835 0.168
! - total moment (μB/f.u.) = 0.00
! - E_form (uncorrected) (eV/f.u.) = -16.86

=====

Question: E_form (uncorrected) of number 2 (Ba6Bi2TeI3)?
Answer: -16.86 eV/f.u.

=====

Question: The lowest E_form (uncorrected) belongs to which entry?
Answer: Ba6Bi2TeI3

=====

Question: What is the E_form (uncorrected) in the second record?
Answer: -16.86 eV/f.u.